Entry w
TbAl3Au3 | PBE | relaxed

```
data_TbAl3Au3
_chemical_formula_sum 'Tb2 Al6 Au6'
_cell_length_a 7.382
_cell_length_b 4.485
_cell_length_c 8.922
_cell_angle_alpha 90.00
_cell_angle_beta 108.26
_cell_angle_gamma 90.00
_symmetry_space_group_name_H-M 'P 1 21/m 1'
_symmetry_Int_Tables_number 11
_symmetry_space_group_name_Hall '-P 2yb'
loop_
_atom_site_label
_atom_site_fract_x
_atom_site_fract_y
_atom_site_fract_z
Tb1 0.207 0.250 0.280
Al1 0.120 0.250 0.906
Al2 0.222 0.750 0.745
Al3 0.461 0.250 0.714
Au1 0.031 0.250 0.606
Au2 0.229 0.750 0.044
Au3 0.392 0.750 0.541
```

Volume in Å³/cell: 280.5
Theoretical density in g/cm3: 9.83
Magnetic moment in μB/cell: 0.0

Entry x
TbAl3Au3 | PBE | relaxed

```
data_TbAl3Au3
_chemical_formula_sum 'Tb2 Al6 Au6'
_cell_length_a 6.923
_cell_length_b 6.923
_cell_length_c 6.923
_cell_angle_alpha 90.00
_cell_angle_beta 90.00
_cell_angle_gamma 90.00
_symmetry_space_group_name_H-M 'P m -3 n'
_symmetry_Int_Tables_number 223
_symmetry_space_group_name_Hall '-P 4n 2 3'
loop_
_atom_site_label
_atom_site_fract_x
_atom_site_fract_y
_atom_site_fract_z
Tb1 0.000 0.000 0.000
Al1 0.000 0.250 0.500
Au1 0.000 0.500 0.250
```

Volume in Å³/cell: 331.8
Theoretical density in g/cm3: 8.32
Magnetic moment in μB/cell: 0.0

Most stable: entry w (next structure +351 meV/atom)

Entry w
TbAlAu4 | PBE | relaxed

```
data_TbAlAu4
_chemical_formula_sum 'Tb4 Al4 Au16'
_cell_length_a 11.228
_cell_length_b 6.034
_cell_length_c 7.436
_cell_angle_alpha 90.00
_cell_angle_beta 106.79
_cell_angle_gamma 90.00
_symmetry_space_group_name_H-M 'C 1 2/m 1'
_symmetry_Int_Tables_number 12
_symmetry_space_group_name_Hall '-C 2y'
loop_
_atom_site_label
_atom_site_fract_x
_atom_site_fract_y
_atom_site_fract_z
Tb1 0.234 0.000 0.319
Al1 0.061 0.500 0.245
Au1 0.000 0.250 0.500
Au2 0.114 0.246 0.948
Au3 0.213 0.000 0.700
```

Volume in Å³/cell: 482.3
Theoretical density in g/cm3: 13.41
Magnetic moment in μB/cell: 0.0

Entry x
TbAlAu4 | PBE | relaxed

```
data_TbAlAu4
_chemical_formula_sum 'Tb1 Al1 Au4'
_cell_length_a 3.755
_cell_length_b 3.581
_cell_length_c 8.836
_cell_angle_alpha 90.00
_cell_angle_beta 96.46
_cell_angle_gamma 90.00
_symmetry_space_group_name_H-M 'P 1 2/m 1'
_symmetry_Int_Tables_number 10
_symmetry_space_group_name_Hall '-P 2y'
loop_
_atom_site_label
_atom_site_fract_x
_atom_site_fract_y
_atom_site_fract_z
Tb1 0.000 0.000 0.000
Al1 0.500 0.500 0.500
Au1 0.086 0.000 0.350
Au2 0.452 0.500 0.817
```

Volume in Å³/cell: 118.1
Theoretical density in g/cm3: 13.69
Magnetic moment in μB/cell: 0.0

Most stable: entry w (next structure +14 meV/atom)

Entry w
Al2Tc2Au | PBE | relaxed

```
data_Al2Tc2Au
_chemical_formula_sum 'Al4 Tc4 Au2'
_cell_length_a 6.721
_cell_length_b 6.721
_cell_length_c 3.347
_cell_angle_alpha 90.00
_cell_angle_beta 90.00
_cell_angle_gamma 90.00
_symmetry_space_group_name_H-M 'P 4/m b m'
_symmetry_Int_Tables_number 127
_symmetry_space_group_name_Hall '-P 4 2ab'
loop_
_atom_site_label
_atom_site_fract_x
_atom_site_fract_y
_atom_site_fract_z
Al1 0.133 0.367 0.000
Tc1 0.166 0.666 0.500
Au1 0.000 0.000 0.000
```

Volume in Å³/cell: 151.2
Theoretical density in g/cm3: 9.82
Magnetic moment in μB/cell: 0.0

Entry x
Al2Tc2Au | PBE | relaxed

```
data_Al2Tc2Au
_chemical_formula_sum 'Al4 Tc4 Au2'
_cell_length_a 7.115
_cell_length_b 7.115
_cell_length_c 3.155
_cell_angle_alpha 90.00
_cell_angle_beta 90.00
_cell_angle_gamma 90.00
_symmetry_space_group_name_H-M 'P 4/m b m'
_symmetry_Int_Tables_number 127
_symmetry_space_group_name_Hall '-P 4 2ab'
loop_
_atom_site_label
_atom_site_fract_x
_atom_site_fract_y
_atom_site_fract_z
Al1 0.175 0.325 0.000
Tc1 0.120 0.620 0.500
Au1 0.000 0.000 0.500
```

Volume in Å³/cell: 159.7
Theoretical density in g/cm3: 9.29
Magnetic moment in μB/cell: 0.0

Most stable: entry w (next structure +17 meV/atom)

Entry w
AlTc3Au | PBE | relaxed

```
data_AlTc3Au
_chemical_formula_sum 'Al1 Tc3 Au1'
_cell_length_a 4.908
_cell_length_b 4.908
_cell_length_c 4.908
_cell_angle_alpha 90.00
_cell_angle_beta 90.00
_cell_angle_gamma 90.00
_symmetry_space_group_name_H-M 'P m -3 m'
_symmetry_Int_Tables_number 221
_symmetry_space_group_name_Hall '-P 4 2 3'
loop_
_atom_site_label
_atom_site_fract_x
_atom_site_fract_y
_atom_site_fract_z
Al1 0.000 0.000 0.000
Tc1 0.000 0.500 0.500
Au1 0.500 0.500 0.500
```

Volume in Å³/cell: 118.2
Theoretical density in g/cm3: 7.28
Magnetic moment in μB/cell: 7.5

Entry x
AlTc3Au | PBE | relaxed

```
data_AlTc3Au
_chemical_formula_sum 'Al1 Tc3 Au1'
_cell_length_a 4.432
_cell_length_b 4.432
_cell_length_c 4.432
_cell_angle_alpha 90.00
_cell_angle_beta 90.00
_cell_angle_gamma 90.00
_symmetry_space_group_name_H-M 'P m -3 m'
_symmetry_Int_Tables_number 221
_symmetry_space_group_name_Hall '-P 4 2 3'
loop_
_atom_site_label
_atom_site_fract_x
_atom_site_fract_y
_atom_site_fract_z
Al1 0.000 0.000 0.000
Tc1 0.000 0.000 0.500
Au1 0.500 0.500 0.500
```

Volume in Å³/cell: 87.0
Theoretical density in g/cm3: 9.88
Magnetic moment in μB/cell: 0.0

Most stable: entry x (next structure +830 meV/atom)